Version a
## NaMnPCO7 (meta-GGA SCAN)

Data for NaMnPCO7 at its PBEsol-relaxed geometry.

Output
- Magnetic moment: 2.99 μB per formula unit

```
data_NaMnPCO7
_cell_length_a 10.2344
_cell_length_b 12.3187
_cell_length_c 10.2730
_cell_angle_alpha 90.00
_cell_angle_beta 118.88
_cell_angle_gamma 90.00
_space_group_name_H-M_alt 'C 1 m 1'
_space_group_IT_number 8
_space_group_name_Hall 'C -2y'
loop_
_atom_site_label
_atom_site_type_symbol
_atom_site_fract_x
_atom_site_fract_y
_atom_site_fract_z
Na1 Na 0.0000 0.1250 0.0000
Na2 Na 0.4905 0.1483 0.5663
Mn1 Mn 0.2063 0.0000 0.4353
Mn2 Mn 0.2168 0.5000 0.4336
Mn3 Mn 0.2866 0.2492 0.1226
P1 P 0.1395 0.2528 0.3429
P2 P 0.3565 0.5000 0.2021
P3 P 0.3607 0.0000 0.2246
C1 C 0.2123 0.2412 0.8672
C2 C 0.2681 0.0000 0.6871
C3 C 0.3052 0.5000 0.6921
O1 O 0.0251 0.5000 0.2610
O2 O 0.0277 0.0000 0.2521
O3 O 0.1211 0.2436 0.9248
O4 O 0.1322 0.0000 0.5672
O5 O 0.1525 0.2580 0.2001
O6 O 0.1611 0.5000 0.5912
O7 O 0.1762 0.2486 0.7352
O8 O 0.2179 0.3486 0.4478
O9 O 0.2220 0.1532 0.4389
O10 O 0.2700 0.0971 0.1270
O11 O 0.2900 0.4004 0.0998
O12 O 0.2974 0.0000 0.8161
O13 O 0.3294 0.5000 0.3353
O14 O 0.3515 0.2352 0.9788
O15 O 0.3536 0.5000 0.8287
O16 O 0.3586 0.0000 0.3741
O17 O 0.3670 0.0000 0.6346
O18 O 0.3866 0.5000 0.6260
O19 O 0.4717 0.2490 0.3002
```

---

Version b
## NaMnPCO7 (meta-GGA SCAN)

Data for NaMnPCO7 at its PBEsol-relaxed geometry.

Output
- Magnetic moment: 2.93 μB per formula unit

```
data_NaMnPCO7
_cell_length_a 6.0565
_cell_length_b 10.0965
_cell_length_c 10.6818
_cell_angle_alpha 117.93
_cell_angle_beta 92.63
_cell_angle_gamma 92.40
_space_group_name_H-M_alt 'P 1'
_space_group_IT_number 1
_space_group_name_Hall 'P 1'
loop_
_atom_site_label
_atom_site_type_symbol
_atom_site_fract_x
_atom_site_fract_y
_atom_site_fract_z
Na1 Na 0.0000 0.0000 0.0000
Na2 Na 0.0039 0.5006 0.9998
Na3 Na 0.4992 0.4968 0.4174
Na4 Na 0.8592 0.9825 0.4457
Mn1 Mn 0.1689 0.7743 0.5707
Mn2 Mn 0.1732 0.2748 0.5728
Mn3 Mn 0.6942 0.6999 0.8705
Mn4 Mn 0.6957 0.2023 0.8726
P1 P 0.1797 0.1273 0.7818
P2 P 0.1797 0.6279 0.7800
P3 P 0.6894 0.3473 0.6622
P4 P 0.6904 0.8493 0.6624
C1 C 0.1754 0.2061 0.3304
C2 C 0.1829 0.7087 0.3290
C3 C 0.6813 0.2773 0.1157
C4 C 0.6918 0.7719 0.1138
O1 O 0.0057 0.6887 0.8932
O2 O 0.0070 0.1901 0.8959
O3 O 0.1075 0.1428 0.6497
O4 O 0.1125 0.6439 0.6481
O5 O 0.1399 0.1129 0.3841
O6 O 0.1655 0.6129 0.3821
O7 O 0.1692 0.1732 0.2045
O8 O 0.1799 0.6745 0.2028
O9 O 0.1970 0.9596 0.7412
O10 O 0.1993 0.4606 0.7406
O11 O 0.2009 0.8478 0.4372
O12 O 0.2204 0.3442 0.4385
O13 O 0.3942 0.2243 0.8581
O14 O 0.3943 0.7247 0.8581
O15 O 0.4744 0.2494 0.5874
O16 O 0.4761 0.7509 0.5844
O17 O 0.6620 0.1359 0.0107
O18 O 0.6615 0.6317 0.0068
O19 O 0.6651 0.5141 0.7011
O20 O 0.6656 0.3168 0.2418
O21 O 0.6685 0.0163 0.7031
O22 O 0.6941 0.8073 0.2402
O23 O 0.7184 0.3676 0.0587
O24 O 0.7214 0.8641 0.0582
O25 O 0.7611 0.3350 0.7965
O26 O 0.7612 0.8331 0.7941
O27 O 0.8624 0.2822 0.5499
O28 O 0.8615 0.7884 0.5475
```

---

Quick ranking, most stable first: version b, version a.

---

Version a
## Mo3C (meta-GGA SCAN)

Data for Mo3C at its PBEsol-relaxed geometry.

Output
- Magnetic moment: 0.00 μB per formula unit

```
data_Mo3C
_cell_length_a 5.1364
_cell_length_b 6.5665
_cell_length_c 3.0748
_cell_angle_alpha 90.00
_cell_angle_beta 90.00
_cell_angle_gamma 90.00
_space_group_name_H-M_alt 'C m m m'
_space_group_IT_number 65
_space_group_name_Hall '-C 2 2'
loop_
_atom_site_label
_atom_site_type_symbol
_atom_site_fract_x
_atom_site_fract_y
_atom_site_fract_z
Mo1 Mo 0.0000 0.0000 0.0000
Mo2 Mo 0.2500 0.2500 0.5000
C1 C 0.0000 0.5000 0.0000
```

---

Version b
## Mo3C (meta-GGA SCAN)

Data for Mo3C at its PBEsol-relaxed geometry.

Output
- Magnetic moment: 0.00 μB per formula unit

```
data_Mo3C
_cell_length_a 2.9735
_cell_length_b 4.0845
_cell_length_c 4.4070
_cell_angle_alpha 90.00
_cell_angle_beta 90.00
_cell_angle_gamma 90.00
_space_group_name_H-M_alt 'P m m 2'
_space_group_IT_number 25
_space_group_name_Hall 'P 2 -2'
loop_
_atom_site_label
_atom_site_type_symbol
_atom_site_fract_x
_atom_site_fract_y
_atom_site_fract_z
Mo1 Mo 0.0000 0.0000 0.0000
Mo2 Mo 0.0000 0.5000 0.3497
Mo3 Mo 0.5000 0.5000 0.8086
C1 C 0.5000 0.0000 0.3618
```

---

Quick ranking, most stable first: version b, version a.

---

Version a
## TaMoC (meta-GGA SCAN)

Data for TaMoC at its PBEsol-relaxed geometry.

Output
- Magnetic moment: 0.00 μB per formula unit

```
data_TaMoC
_cell_length_a 2.7564
_cell_length_b 2.7564
_cell_length_c 9.8505
_cell_angle_alpha 90.00
_cell_angle_beta 90.00
_cell_angle_gamma 90.00
_space_group_name_H-M_alt 'I 4 m m'
_space_group_IT_number 107
_space_group_name_Hall 'I 4 -2'
loop_
_atom_site_label
_atom_site_type_symbol
_atom_site_fract_x
_atom_site_fract_y
_atom_site_fract_z
Ta1 Ta 0.0000 0.0000 0.0000
Mo1 Mo 0.0000 0.0000 0.2621
C1 C 0.0000 0.0000 0.6469
```

---

Version b
## TaMoC (meta-GGA SCAN)

Data for TaMoC at its PBEsol-relaxed geometry.

Output
- Magnetic moment: 0.00 μB per formula unit

```
data_TaMoC
_cell_length_a 5.3829
_cell_length_b 5.3829
_cell_length_c 5.3829
_cell_angle_alpha 90.00
_cell_angle_beta 90.00
_cell_angle_gamma 90.00
_space_group_name_H-M_alt 'F -4 3 m'
_space_group_IT_number 216
_space_group_name_Hall 'F -4 2 3'
loop_
_atom_site_label
_atom_site_type_symbol
_atom_site_fract_x
_atom_site_fract_y
_atom_site_fract_z
Ta1 Ta 0.0000 0.0000 0.0000
Mo1 Mo 0.0000 0.0000 0.5000
C1 C 0.2500 0.2500 0.2500
```

---

Version c
## TaMoC (meta-GGA SCAN)

Data for TaMoC at its PBEsol-relaxed geometry.

Output
- Magnetic moment: 0.00 μB per formula unit

```
data_TaMoC
_cell_length_a 3.0777
_cell_length_b 3.0777
_cell_length_c 4.7244
_cell_angle_alpha 90.00
_cell_angle_beta 90.00
_cell_angle_gamma 120.00
_space_group_name_H-M_alt 'P 3 m 1'
_space_group_IT_number 156
_space_group_name_Hall 'P 3 -2"'
loop_
_atom_site_label
_atom_site_type_symbol
_atom_site_fract_x
_atom_site_fract_y
_atom_site_fract_z
Ta1 Ta 0.0000 0.0000 0.0000
Mo1 Mo 0.6667 0.3333 0.4983
C1 C 0.3333 0.6667 0.7386
```

---

Quick ranking, most stable first: version c, version a, version b.

---

Version a
## Tc2CN (meta-GGA SCAN)

Data for Tc2CN at its PBEsol-relaxed geometry.

Output
- Magnetic moment: 0.00 μB per formula unit

```
data_Tc2CN
_cell_length_a 5.2758
_cell_length_b 5.2758
_cell_length_c 5.2758
_cell_angle_alpha 90.00
_cell_angle_beta 90.00
_cell_angle_gamma 90.00
_space_group_name_H-M_alt 'F m -3 m'
_space_group_IT_number 225
_space_group_name_Hall '-F 4 2 3'
loop_
_atom_site_label
_atom_site_type_symbol
_atom_site_fract_x
_atom_site_fract_y
_atom_site_fract_z
Tc1 Tc 0.2500 0.2500 0.2500
C1 C 0.0000 0.0000 0.0000
N1 N 0.0000 0.0000 0.5000
```

---

Version b
## Tc2CN (meta-GGA SCAN)

Data for Tc2CN at its PBEsol-relaxed geometry.

Output
- Magnetic moment: 1.01 μB per formula unit

```
data_Tc2CN
_cell_length_a 4.5195
_cell_length_b 4.5195
_cell_length_c 9.1556
_cell_angle_alpha 90.00
_cell_angle_beta 90.00
_cell_angle_gamma 90.00
_space_group_name_H-M_alt 'I -4 2 d'
_space_group_IT_number 122
_space_group_name_Hall 'I -4 2bw'
loop_
_atom_site_label
_atom_site_type_symbol
_atom_site_fract_x
_atom_site_fract_y
_atom_site_fract_z
Tc1 Tc 0.2445 0.2500 0.1250
C1 C 0.0000 0.0000 0.5000
N1 N 0.0000 0.0000 0.0000
```

---

Quick ranking, most stable first: version b, version a.

---

Version a
## Zr2CN (meta-GGA SCAN)

Data for Zr2CN at its PBEsol-relaxed geometry.

Output
- Magnetic moment: 0.00 μB per formula unit

```
data_Zr2CN
_cell_length_a 3.2625
_cell_length_b 3.2625
_cell_length_c 16.0079
_cell_angle_alpha 90.00
_cell_angle_beta 90.00
_cell_angle_gamma 120.00
_space_group_name_H-M_alt 'R -3 m'
_space_group_IT_number 166
_space_group_name_Hall '-R 3 2"'
loop_
_atom_site_label
_atom_site_type_symbol
_atom_site_fract_x
_atom_site_fract_y
_atom_site_fract_z
Zr1 Zr 0.0000 0.0000 0.2493
C1 C 0.0000 0.0000 0.5000
N1 N 0.0000 0.0000 0.0000
```

---

Version b
## Zr2CN (meta-GGA SCAN)

Data for Zr2CN at its PBEsol-relaxed geometry.

Output
- Magnetic moment: 0.00 μB per formula unit

```
data_Zr2CN
_cell_length_a 4.9763
_cell_length_b 4.9763
_cell_length_c 10.0002
_cell_angle_alpha 90.00
_cell_angle_beta 90.00
_cell_angle_gamma 90.00
_space_group_name_H-M_alt 'I -4 2 d'
_space_group_IT_number 122
_space_group_name_Hall 'I -4 2bw'
loop_
_atom_site_label
_atom_site_type_symbol
_atom_site_fract_x
_atom_site_fract_y
_atom_site_fract_z
Zr1 Zr 0.2436 0.2500 0.1250
C1 C 0.0000 0.0000 0.5000
N1 N 0.0000 0.0000 0.0000
```

---

Quick ranking, most stable first: version a, version b.

---

Version a
## Na3SnPCO7 (meta-GGA SCAN)

Data for Na3SnPCO7 at its PBEsol-relaxed geometry.

Output
- Magnetic moment: 0.00 μB per formula unit

```
data_Na3SnPCO7
_cell_length_a 5.4716
_cell_length_b 6.8682
_cell_length_c 9.2663
_cell_angle_alpha 90.00
_cell_angle_beta 96.49
_cell_angle_gamma 90.00
_space_group_name_H-M_alt 'P 1 21 1'
_space_group_IT_number 4
_space_group_name_Hall 'P 2yb'
loop_
_atom_site_label
_atom_site_type_symbol
_atom_site_fract_x
_atom_site_fract_y
_atom_site_fract_z
Na1 Na 0.0087 0.0000 0.0200
Na2 Na 0.4764 0.7533 0.8600
Na3 Na 0.4900 0.9459 0.4959
Sn1 Sn 0.0686 0.1878 0.6667
P1 P 0.0022 0.2190 0.3060
C1 C 0.4878 0.7061 0.1611
O1 O 0.1221 0.2915 0.1741
O2 O 0.1377 0.5252 0.7316
O3 O 0.1995 0.8652 0.6533
O4 O 0.2061 0.1986 0.4378
O5 O 0.2829 0.7418 0.0865
O6 O 0.3219 0.1488 0.9010
O7 O 0.4778 0.2248 0.6971
```

---

Version b
## Na3SnPCO7 (meta-GGA SCAN)

Data for Na3SnPCO7 at its PBEsol-relaxed geometry.

Output
- Magnetic moment: 0.00 μB per formula unit

```
data_Na3SnPCO7
_cell_length_a 5.3823
_cell_length_b 6.9660
_cell_length_c 9.3876
_cell_angle_alpha 90.00
_cell_angle_beta 94.53
_cell_angle_gamma 90.00
_space_group_name_H-M_alt 'P 1 21/m 1'
_space_group_IT_number 11
_space_group_name_Hall '-P 2yb'
loop_
_atom_site_label
_atom_site_type_symbol
_atom_site_fract_x
_atom_site_fract_y
_atom_site_fract_z
Na1 Na 0.2183 0.2500 0.4125
Na2 Na 0.2561 0.5006 0.7551
Sn1 Sn 0.2275 0.7500 0.1307
P1 P 0.2525 0.2500 0.1060
C1 C 0.2537 0.7500 0.4403
O1 O 0.0592 0.7500 0.3455
O2 O 0.1412 0.0733 0.1804
O3 O 0.1713 0.2500 0.9411
O4 O 0.2162 0.7500 0.5735
O5 O 0.4635 0.7500 0.8709
O6 O 0.4763 0.7500 0.3965
```

---

Quick ranking, most stable first: version a, version b.